Material: Li4Mn2Co3Cu3O16
Method: DFT, PBE with a Hubbard U
State: optimized geometry

Geometry as CIF:
```
data_Li4Mn2Co3Cu3O16
_chemical_formula_sum 'Li4 Mn2 Co3 Cu3 O16'
_cell_length_a 5.820
_cell_length_b 5.703
_cell_length_c 9.283
_cell_angle_alpha 90.12
_cell_angle_beta 87.93
_cell_angle_gamma 119.85
_space_group_name_H-M_alt 'P 1'
_space_group_IT_number 1
_space_group_name_Hall 'P 1'
loop_
_atom_site_label
_atom_site_fract_x
_atom_site_fract_y
_atom_site_fract_z
_atom_site_occupancy
O1 0.987 0.985 0.300 1
O2 0.165 0.838 0.595 1
O3 0.516 0.473 0.841 1
O4 0.539 0.977 0.355 1
O5 0.488 0.524 0.342 1
O6 0.530 0.030 0.844 1
O7 0.991 0.996 0.804 1
O8 0.318 0.152 0.090 1
O9 0.156 0.334 0.590 1
O10 0.791 0.654 0.091 1
O11 0.672 0.830 0.603 1
O12 0.674 0.333 0.614 1
O13 0.954 0.477 0.839 1
O14 0.346 0.684 0.112 1
O15 0.060 0.554 0.350 1
O16 0.819 0.158 0.100 1
Cu1 0.180 0.843 0.213 1
Cu2 0.165 0.342 0.214 1
Cu3 0.335 0.164 0.712 1
Li1 0.992 0.995 0.995 1
Li2 0.686 0.350 0.402 1
Li3 0.996 0.999 0.493 1
Li4 0.322 0.656 0.898 1
Co1 0.827 0.656 0.714 1
Co2 0.659 0.827 0.211 1
Co3 0.829 0.168 0.714 1
Mn1 0.350 0.678 0.491 1
Mn2 0.654 0.324 0.982 1
```

Summary:
M_tot = 2.0 μB per formula unit
Calculated volume = 9.54 Å³/atom
Total DFT energy (no corrections) = -160.0 eV per cell
Space-group type = No. 1